1.
The following is a DFT calculation (GGA-PBE) of a geometry-optimized RbAcMn2Cl8 structure.

Values from the calculation:
Formation energy from raw total energies: -1.641 eV/atom
Calculated volume: 1181.4 Å³ per cell
Size of the total moment: 10.000 μB/f.u.

Unit cell a=6.6291 b=6.6291 c=31.0420 alpha=90.00 beta=90.00 gamma=120.00
With the nearest neighbours (Å) after each atom.
Space group R32 (No. 155, hexagonal axes)
Asymmetric unit:
Rb (0.0000, 0.0000, 0.0000)  12 Cl 3.83-3.97
Ac (0.0000, 0.0000, 0.5000)  6 Cl 2.91
Mn (0.0000, 0.0000, 0.2540)  4 Cl 2.26-2.39
Cl (0.0000, 0.0000, 0.3269)  1 Mn 2.26
Cl (0.0025, 0.3266, 0.8927)  1 Mn 2.39

=====

2.
The following is a DFT calculation (GGA-PBE) of a geometry-optimized RbAcMnCl6 structure.

Values from the calculation:
Formation energy from raw total energies: -1.609 eV/atom
Calculated volume: 596.1 Å³ per cell
Size of the total moment: 0.934 μB/f.u.

Unit cell a=6.8621 b=6.8621 c=14.6177 alpha=90.00 beta=90.00 gamma=120.00
With the nearest neighbours (Å) after each atom.
Space group P-31c (No. 163)
Asymmetric unit:
Rb (0.0000, 0.0000, 0.0000)  6 Cl 3.34
Ac (0.3333, 0.6667, 0.2500)  6 Cl 2.89
Mn (0.3333, 0.6667, 0.7500)  6 Cl 2.39
Cl (0.0555, 0.3905, 0.6505)  1 Mn 2.39

=====

3.
The following is a DFT calculation (GGA-PBE) of a geometry-optimized AcMnTl2Cl8 structure.

Values from the calculation:
Formation energy from raw total energies: -1.441 eV/atom
Calculated volume: 402.3 Å³ per cell
Size of the total moment: 3.997 μB/f.u.

Unit cell a=6.8264 b=7.0720 c=8.3495 alpha=89.42 beta=89.55 gamma=86.54
With the nearest neighbours (Å) after each atom.
Space group P-1 (No. 2)
Asymmetric unit:
Ac (0.0000, 0.0000, 0.0000)  6 Cl 2.87-2.98
Mn (0.0000, 0.0000, 0.5000)  4 Cl 2.24-2.37
Tl (0.4909, 0.4686, 0.2724)  5 Cl 3.03-3.36
Cl (0.1159, 0.2378, 0.2576)  1 Mn 2.76, 1 Ac 2.89
Cl (0.1285, 0.1908, 0.7004)  1 Mn 2.37
Cl (0.2894, 0.8344, 0.4826)  1 Mn 2.24
Cl (0.3548, 0.7612, 0.0106)  1 Ac 2.87, 2 Tl 3.03-3.10

=====

4.
The following is a DFT calculation (GGA-PBE) of a geometry-optimized AcMnTlCl6 structure.

Values from the calculation:
Formation energy from raw total energies: -1.391 eV/atom
Calculated volume: 571.4 Å³ per cell
Size of the total moment: 0.923 μB/f.u.

Unit cell a=6.8628 b=6.8628 c=14.0092 alpha=90.00 beta=90.00 gamma=120.00
With the nearest neighbours (Å) after each atom.
Space group P-31c (No. 163)
Asymmetric unit:
Ac (0.3333, 0.6667, 0.2500)  6 Cl 2.89
Mn (0.3333, 0.6667, 0.7500)  6 Cl 2.39
Tl (0.0000, 0.0000, 0.0000)  6 Cl 3.24
Cl (0.0563, 0.3907, 0.6467)  1 Mn 2.39

=====

Question: Which formula does entry 1 have?
Answer: RbAcMn2Cl8

=====

Question: size of the total moment of number 3 (AcMnTl2Cl8)?
Answer: 3.997 μB/f.u.

=====

Question: Which formula does entry 1 have?
Answer: RbAcMn2Cl8